Computed, not measured: crystalline RbTaBe at its relaxed geometry at the GGA-PBE level of DFT.

Geometry as CIF:
```
data_RbTaBe
_cell_length_a 4.511
_cell_length_b 5.053
_cell_length_c 11.183
_cell_angle_alpha 82.62
_cell_angle_beta 79.22
_cell_angle_gamma 63.59
_symmetry_space_group_name_H-M 'P -1'
_symmetry_Int_Tables_number 2
loop_
_symmetry_equiv_pos_as_xyz
'x,y,z'
'-x,-y,-z'
loop_
_atom_site_label
_atom_site_type_symbol
_atom_site_fract_x
_atom_site_fract_y
_atom_site_fract_z
Rb1 Rb 0.040 0.194 0.203
Ta1 Ta 0.267 0.510 0.452
Be1 Be 0.253 0.000 0.500
```

DFT formation energy in eV per formula unit: 2.6
DFT total energy in eV per atom: -4.664
Energy relative to the lowest polymorph listed for this composition in meV per atom: 400